VASP calculation (GGA-PBE) on crystalline K2Na4Au at its relaxed geometry.

Results
Energy relative to the lowest polymorph listed for this composition, eV per formula unit: 0.373
Energy of formation from the pure elements, eV per formula unit: -0.33

a b c (Å): 5.742 5.742 10.534
angles (deg): 105.82 105.82 90.00
Element x y z (fractional)
Na1 0.500 0.000 0.000
Na2 0.000 0.500 0.000
Na3 0.852 0.852 0.705
Na4 0.148 0.148 0.295
K1 0.351 0.351 0.703
K2 0.649 0.649 0.297
Au1 0.000 0.000 0.000

VASP calculation (GGA-PBE) on crystalline K6Na3Au at its relaxed geometry.

Results
Energy of formation from the pure elements, eV per formula unit: -0.36

a b c (Å): 10.502 10.502 10.502
angles (deg): 77.53 77.53 77.53
Element x y z (fractional)
Au1 0.000 0.000 0.000
Au2 0.500 0.500 0.500
K1 0.180 0.521 0.521
K2 0.479 0.479 0.820
K3 0.143 0.797 0.797
K4 0.820 0.479 0.479
K5 0.203 0.857 0.203
K6 0.797 0.143 0.797
K7 0.203 0.203 0.857
K8 0.521 0.521 0.180
K9 0.797 0.797 0.143
K10 0.521 0.180 0.521
K11 0.479 0.820 0.479
K12 0.857 0.203 0.203
Na1 0.860 0.860 0.548
Na2 0.860 0.548 0.860
Na3 0.452 0.140 0.140
Na4 0.140 0.452 0.140
Na5 0.548 0.860 0.860
Na6 0.140 0.140 0.452

VASP calculation (GGA-PBE) on crystalline K2Na9Au6 at its relaxed geometry.

Results
Energy of formation from the pure elements, eV per formula unit: -2.67

a b c (Å): 6.810 6.810 13.642
angles (deg): 90.00 90.00 120.00
Element x y z (fractional)
Au1 0.667 0.333 0.329
Au2 0.333 0.667 0.671
Au3 0.333 0.667 0.329
Au4 0.333 0.667 0.000
Au5 0.667 0.333 0.000
Au6 0.667 0.333 0.671
Na1 0.000 0.500 0.500
Na2 0.500 0.500 0.162
Na3 0.000 0.500 0.162
Na4 0.500 0.500 0.838
Na5 0.500 0.000 0.838
Na6 0.000 0.500 0.838
Na7 0.500 0.500 0.500
Na8 0.500 0.000 0.500
Na9 0.500 0.000 0.162
K1 0.000 0.000 0.670
K2 0.000 0.000 0.330

VASP calculation (GGA-PBE) on crystalline K3Na3Au2 at its relaxed geometry.

Results
Energy of formation from the pure elements, eV per formula unit: -1.27

a b c (Å): 4.907 6.377 10.621
angles (deg): 82.13 76.64 90.00
Element x y z (fractional)
Au1 0.232 0.110 0.536
Au2 0.768 0.890 0.464
Na1 0.500 0.500 0.000
Na2 0.352 0.907 0.295
Na3 0.648 0.093 0.705
K1 0.000 0.000 0.000
K2 0.175 0.595 0.651
K3 0.825 0.405 0.349

VASP calculation (GGA-PBE) on crystalline KNa9Au3 at its relaxed geometry.

Results
Energy of formation from the pure elements, eV per formula unit: -2.04

a b c (Å): 6.396 8.283 8.361
angles (deg): 81.42 67.51 67.03
Element x y z (fractional)
Na1 0.996 0.680 0.351
Na2 0.525 0.214 0.769
Na3 0.475 0.786 0.231
Na4 0.000 0.500 0.000
Na5 0.294 0.214 0.231
Na6 0.706 0.786 0.769
Na7 0.347 0.680 0.649
Na8 0.653 0.320 0.351
Na9 0.004 0.320 0.649
Au1 0.000 0.000 0.500
Au2 0.500 0.500 0.000
Au3 0.500 0.000 0.500
K1 0.000 0.000 0.000

VASP calculation (GGA-PBE) on crystalline KNa3Au8 at its relaxed geometry.

Results
Energy of formation from the pure elements, eV per formula unit: -4.21

a b c (Å): 5.646 5.646 9.890
angles (deg): 73.41 73.41 60.00
Element x y z (fractional)
Au1 0.937 0.937 0.692
Au2 0.187 0.187 0.438
Au3 0.937 0.434 0.692
Au4 0.439 0.439 0.182
Au5 0.439 0.941 0.182
Au6 0.434 0.937 0.692
Au7 0.688 0.688 0.937
Au8 0.941 0.439 0.182
Na1 0.498 0.498 0.507
Na2 0.001 0.001 0.996
Na3 0.375 0.375 0.876
K1 0.875 0.875 0.375

VASP calculation (GGA-PBE) on crystalline K3Na4Au2 at its relaxed geometry.

Results
Energy relative to the lowest polymorph listed for this composition, eV per formula unit: 0.000
Energy of formation from the pure elements, eV per formula unit: -1.46

a b c (Å): 4.763 8.253 9.967
angles (deg): 65.04 76.17 73.18
Element x y z (fractional)
Na1 0.322 0.355 0.001
Na2 0.118 0.451 0.315
Na3 0.882 0.549 0.685
Na4 0.678 0.645 0.999
Au1 0.239 0.752 0.770
Au2 0.761 0.248 0.230
K1 0.636 0.107 0.620
K2 0.364 0.893 0.380
K3 0.000 0.000 0.000

VASP calculation (GGA-PBE) on crystalline KNaAu2 at its relaxed geometry.

Results
Energy relative to the lowest polymorph listed for this composition, eV per formula unit: 0.040
Energy of formation from the pure elements, eV per formula unit: -1.05

a b c (Å): 7.596 7.766 7.984
angles (deg): 90.00 90.00 90.00
Element x y z (fractional)
Na1 0.250 0.139 0.186
Na2 0.750 0.861 0.814
Na3 0.250 0.639 0.314
Na4 0.750 0.361 0.686
K1 0.750 0.510 0.180
K2 0.250 0.490 0.820
K3 0.750 0.010 0.320
K4 0.250 0.990 0.680
Au1 0.939 0.672 0.542
Au2 0.061 0.328 0.458
Au3 0.439 0.828 0.042
Au4 0.561 0.672 0.542
Au5 0.439 0.328 0.458
Au6 0.561 0.172 0.958
Au7 0.061 0.828 0.042
Au8 0.939 0.172 0.958

VASP calculation (GGA-PBE) on crystalline KNaAu2 at its relaxed geometry.

Results
Energy relative to the lowest polymorph listed for this composition, eV per formula unit: 0.796
Energy of formation from the pure elements, eV per formula unit: -0.30

a b c (Å): 7.151 7.151 8.684
angles (deg): 65.68 65.68 90.00
Element x y z (fractional)
Na1 0.250 0.750 0.500
Na2 0.500 0.500 0.000
Au1 0.582 0.125 0.250
Au2 0.375 0.418 0.750
Au3 0.875 0.832 0.750
Au4 0.168 0.625 0.250
K1 0.000 0.000 0.000
K2 0.750 0.250 0.500

- What is the energy of formation from the pure elements in the eighth record?
  -1.05 eV per formula unit

- The highest energy of formation from the pure elements belongs to which entry?
  number 9

- Which value of energy of formation from the pure elements does entry 1 give?
  -0.33 eV per formula unit

- Look up the energy of formation from the pure elements of the first one.
  -0.33 eV per formula unit